1.
This record from the Alexandria database describes a geometry-optimized CsH structure. The functional is GGA-PBE.

Summary:
E_tot: -35.38 eV for the cell shown
Crystal system: tetragonal
Fermi-level density of states: 0.00 states/eV/cell

abc: 12.380 12.380 5.156
angles: 90.00 90.00 90.00
Fractional coordinates of all 16 atoms:
Cs 0.208 0.617 0.000
Cs 0.383 0.208 0.000
H 0.622 0.207 0.000
Cs 0.117 0.292 0.500
Cs 0.292 0.883 0.500
Cs 0.617 0.792 0.000
H 0.207 0.378 0.000
H 0.122 0.707 0.500
H 0.378 0.793 0.000
Cs 0.708 0.117 0.500
H 0.707 0.878 0.500
Cs 0.883 0.708 0.500
Cs 0.792 0.383 0.000
H 0.793 0.622 0.000
H 0.878 0.293 0.500
H 0.293 0.122 0.500


2.
This record from the Alexandria database describes a geometry-optimized Y2Os2Ru structure. The functional is GGA-PBE.

Summary:
Crystal system: tetragonal
ΔE_f: 1.00 eV per atom
Fermi-level density of states: 5.08 states/eV/cell
Polymorph energy (0 for the lowest one): 1049 meV/atom

abc: 5.272 5.272 4.600
angles: 90.00 90.00 90.00
Fractional coordinates of all 5 atoms:
Y 0.500 0.000 0.000
Os 0.000 0.000 0.000
Ru 0.500 0.500 0.500
Os 0.000 0.000 0.500
Y 0.000 0.500 0.000